Ge2BiBr after structural relaxation, computed with PBE.

Cell: 5.1902 5.1902 5.1902 Å, 60.00 60.00 60.00°
Last column: nearest neighbours and their distance in Å.
Fractional coordinates of all 4 atoms:
Ge 0.2500 0.2500 0.2500  4 Br 3.18, 4 Bi 3.18
Ge 0.7500 0.7500 0.7500  4 Bi 3.18, 4 Br 3.18
Bi 0.0000 0.0000 0.0000  8 Ge 3.18
Br 0.5000 0.5000 0.5000  8 Ge 3.18

**Uncorrected formation energy**: 215 meV per atom
**Space group**: Fm-3m
**ΔE to the lowest computed polymorph**: 0 meV per atom

***

Mg14AlAg after structural relaxation, computed with PBE.

Cell: 8.5006 6.4180 6.4180 Å, 90.00 90.00 90.00°
Last column: nearest neighbours and their distance in Å.
Fractional coordinates of all 16 atoms:
Mg 0.0000 0.9998 0.9998  12 Mg 3.17-3.21
Mg 0.0000 0.9997 0.5001  12 Mg 3.18-3.21
Mg 0.0000 0.5001 0.9997  12 Mg 3.18-3.21
Mg 0.0000 0.5000 0.5000  12 Mg 3.19-3.21
Mg 0.2617 0.2483 0.2483  1 Ag 3.03, 10 Mg 3.04-3.23, 1 Al 3.05
Mg 0.2623 0.2484 0.7513  1 Ag 3.03, 10 Mg 3.04-3.23, 1 Al 3.05
Mg 0.2623 0.7513 0.2484  1 Ag 3.03, 10 Mg 3.04-3.23, 1 Al 3.05
Mg 0.2628 0.7515 0.7515  1 Ag 3.03, 10 Mg 3.04-3.23, 1 Al 3.05
Mg 0.5000 0.0003 0.4994  8 Mg 3.04, 2 Ag 3.20-3.21, 2 Al 3.21
Mg 0.5000 0.4994 0.0003  8 Mg 3.04, 2 Ag 3.20-3.21, 2 Al 3.21
Mg 0.7372 0.7515 0.7515  1 Ag 3.03, 10 Mg 3.04-3.23, 1 Al 3.05
Mg 0.7383 0.2483 0.2483  1 Ag 3.03, 10 Mg 3.04-3.23, 1 Al 3.05
Mg 0.7377 0.2484 0.7513  1 Ag 3.03, 10 Mg 3.04-3.23, 1 Al 3.05
Mg 0.7377 0.7513 0.2484  1 Ag 3.03, 10 Mg 3.04-3.23, 1 Al 3.05
Al 0.5000 0.4997 0.4997  12 Mg 3.05-3.21
Ag 0.5000 0.0001 0.0001  12 Mg 3.03-3.21

**Space group**: Amm2
**ΔE_f**: -0.02 eV per atom

***

Cd2InN after structural relaxation, computed with PBE.

Cell: 6.4433 6.4433 6.4433 Å, 119.48 119.48 90.90°
Last column: nearest neighbours and their distance in Å.
Fractional coordinates of all 8 atoms:
Cd 0.0121 0.6250 0.8871  2 N 2.17
Cd 0.3750 0.2621 0.3871  2 N 2.17
Cd 0.7379 0.1250 0.1129  2 N 2.17
Cd 0.8750 0.9879 0.6129  2 N 2.17
In 0.2500 0.7500 0.5000  4 Cd 3.08
In 0.5000 0.5000 0.0000  4 Cd 3.08
N 0.0000 0.0000 0.0000  4 Cd 2.17
N 0.7500 0.2500 0.5000  4 Cd 2.17

**Uncorrected formation energy**: 478 meV per atom
**Space group**: I-42d
**ΔE to the lowest computed polymorph**: 0 meV per atom

***

Sr2CuRh3O8 after structural relaxation, computed with PBE.

Cell: 6.8188 6.8188 6.8188 Å, 55.27 55.27 55.27°
Last column: nearest neighbours and their distance in Å.
Fractional coordinates of all 14 atoms:
Sr 0.0000 0.0000 0.0000  4 O 2.34-2.46
Sr 0.3711 0.3711 0.3711  6 O 2.47
Cu 0.8023 0.8023 0.8023  3 O 1.94
Rh 0.3693 0.3693 0.8695  6 O 2.04-2.10
Rh 0.3693 0.8695 0.3693  6 O 2.04-2.10
Rh 0.8695 0.3693 0.3693  6 O 2.04-2.10
O 0.1146 0.1146 0.5628  2 Rh 2.04
O 0.1146 0.5628 0.1146  2 Rh 2.04
O 0.1427 0.1427 0.1427  3 Rh 2.10
O 0.1614 0.6302 0.6302  1 Cu 1.94, 2 Rh 2.07
O 0.5628 0.1146 0.1146  2 Rh 2.04
O 0.5938 0.5938 0.5938  3 Rh 2.08
O 0.6302 0.1614 0.6302  1 Cu 1.94, 2 Rh 2.07
O 0.6302 0.6302 0.1614  1 Cu 1.94, 2 Rh 2.07

**Uncorrected formation energy**: -1301 meV per atom
**Space group**: R3m

***

La2NbZnBi after structural relaxation, computed with PBE.

Cell: 5.6102 5.6102 5.4600 Å, 90.00 90.00 90.00°
Last column: nearest neighbours and their distance in Å.
Fractional coordinates of all 5 atoms:
La 0.0000 0.5000 0.0000  2 Nb 2.81
La 0.5000 0.0000 0.0000  2 Nb 2.81
Nb 0.0000 0.0000 0.0000  2 Bi 2.73, 4 La 2.81
Zn 0.5000 0.5000 0.5000  8 La 3.91, 4 Bi 3.97
Bi 0.0000 0.0000 0.5000  2 Nb 2.73

**Space group**: P4/mmm
**ΔE_f**: 0.23 eV per atom

***

Be3VNi after structural relaxation, computed with PBE.

Cell: 3.8433 3.8433 3.8433 Å, 90.00 90.00 90.00°
Last column: nearest neighbours and their distance in Å.
Fractional coordinates of all 5 atoms:
Be 0.0000 0.0000 0.5000  2 Ni 1.92
Be 0.0000 0.5000 0.0000  2 Ni 1.92
Be 0.5000 0.0000 0.0000  2 Ni 1.92
V 0.5000 0.5000 0.5000  12 Be 2.72
Ni 0.0000 0.0000 0.0000  6 Be 1.92

**Space group**: Pm-3m
**ΔE_f**: 0.39 eV per atom
**ΔE to the lowest computed polymorph**: 0 meV per atom

***

La2Mg16Sn after structural relaxation, computed with PBE.

Cell: 7.8369 7.8369 7.8369 Å, 82.65 82.65 82.65°
Last column: nearest neighbours and their distance in Å.
Fractional coordinates of all 19 atoms:
La 0.0000 0.0000 0.0000  16 Mg 3.57-3.85
La 0.3449 0.3449 0.3449  1 Sn 3.43, 12 Mg 3.61-3.83
Mg 0.0200 0.0200 0.5141  8 Mg 2.94-3.16
Mg 0.0200 0.5141 0.0200  8 Mg 2.94-3.16
Mg 0.1705 0.6733 0.6733  9 Mg 3.00-3.18, 1 Sn 3.16
Mg 0.3210 0.3210 0.8390  8 Mg 2.94-3.17
Mg 0.3210 0.8390 0.3210  8 Mg 2.94-3.17
Mg 0.3668 0.6731 0.9781  8 Mg 3.00-3.17
Mg 0.3668 0.9781 0.6731  8 Mg 3.00-3.17
Mg 0.5141 0.0200 0.0200  8 Mg 2.94-3.16
Mg 0.6733 0.1705 0.6733  9 Mg 3.00-3.18, 1 Sn 3.16
Mg 0.6731 0.3668 0.9781  8 Mg 3.00-3.17
Mg 0.6733 0.6733 0.1705  9 Mg 3.00-3.18, 1 Sn 3.16
Mg 0.6731 0.9781 0.3668  8 Mg 3.00-3.17
Mg 0.7653 0.7653 0.7653  1 Sn 2.97, 6 Mg 3.18-3.29
Mg 0.8390 0.3210 0.3210  8 Mg 2.94-3.17
Mg 0.9781 0.3668 0.6731  8 Mg 3.00-3.17
Mg 0.9781 0.6731 0.3668  8 Mg 3.00-3.17
Sn 0.5701 0.5701 0.5701  7 Mg 2.97-3.31

**Space group**: R3m
**ΔE_f**: -0.11 eV per atom

***

Nd4ZnRu after structural relaxation, computed with PBE.

Cell: 9.8010 9.8010 9.8010 Å, 60.00 60.00 60.00°
Last column: nearest neighbours and their distance in Å.
Fractional coordinates of all 24 atoms:
Nd 0.1886 0.1886 0.8114  2 Zn 3.41, 10 Nd 3.53-3.70, 2 Ru 3.53
Nd 0.1886 0.8114 0.1886  2 Zn 3.41, 10 Nd 3.53-3.70, 2 Ru 3.53
Nd 0.1886 0.8114 0.8114  2 Zn 3.41, 10 Nd 3.53-3.70, 2 Ru 3.53
Nd 0.4012 0.4012 0.4012  3 Ru 2.93
Nd 0.4012 0.4012 0.7965  3 Ru 2.93
Nd 0.4012 0.7965 0.4012  3 Ru 2.93
Nd 0.5571 0.5571 0.9429  2 Ru 2.81
Nd 0.5571 0.9429 0.5571  2 Ru 2.81
Nd 0.5571 0.9429 0.9429  2 Ru 2.81
Nd 0.7965 0.4012 0.4012  3 Ru 2.93
Nd 0.8114 0.1886 0.1886  2 Zn 3.41, 10 Nd 3.53-3.70, 2 Ru 3.53
Nd 0.8114 0.1886 0.8114  2 Zn 3.41, 10 Nd 3.53-3.70, 2 Ru 3.53
Nd 0.8114 0.8114 0.1886  2 Zn 3.41, 10 Nd 3.53-3.70, 2 Ru 3.53
Nd 0.9429 0.5571 0.5571  2 Ru 2.81
Nd 0.9429 0.5571 0.9429  2 Ru 2.81
Nd 0.9429 0.9429 0.5571  2 Ru 2.81
Zn 0.1735 0.1735 0.1735  3 Zn 3.00
Zn 0.1735 0.1735 0.4795  3 Zn 3.00
Zn 0.1735 0.4795 0.1735  3 Zn 3.00
Zn 0.4795 0.1735 0.1735  3 Zn 3.00
Ru 0.1642 0.6119 0.6119  6 Nd 2.81-2.93
Ru 0.6119 0.1642 0.6119  6 Nd 2.81-2.93
Ru 0.6119 0.6119 0.1642  6 Nd 2.81-2.93
Ru 0.6119 0.6119 0.6119  6 Nd 2.81-2.93

**Space group**: F-43m
**ΔE_f**: -0.22 eV per atom
**ΔE to the lowest computed polymorph**: 0 meV per atom

***

Repeat the third record exactly.
Cd2InN after structural relaxation, computed with PBE.

Cell: 6.4433 6.4433 6.4433 Å, 119.48 119.48 90.90°
Last column: nearest neighbours and their distance in Å.
Fractional coordinates of all 8 atoms:
Cd 0.0121 0.6250 0.8871  2 N 2.17
Cd 0.3750 0.2621 0.3871  2 N 2.17
Cd 0.7379 0.1250 0.1129  2 N 2.17
Cd 0.8750 0.9879 0.6129  2 N 2.17
In 0.2500 0.7500 0.5000  4 Cd 3.08
In 0.5000 0.5000 0.0000  4 Cd 3.08
N 0.0000 0.0000 0.0000  4 Cd 2.17
N 0.7500 0.2500 0.5000  4 Cd 2.17

**Uncorrected formation energy**: 478 meV per atom
**Space group**: I-42d
**ΔE to the lowest computed polymorph**: 0 meV per atom